# 1
Density functional theory data (PBE) for an optimized crystal structure of ReHg4As.

Lattice parameters (Å, degrees): 7.999 7.999 7.999 90.00 90.00 90.00
Space group F-43m (No. 216)
Inequivalent atoms, fractional coordinates:
Re: 0.000 0.000 0.000
Hg: 0.125 0.125 0.375
As: 0.250 0.250 0.750

Output
Energy relative to the elements, eV per atom: 1.13
DOS at the Fermi energy, states/eV/cell: 23.66

# 2
Density functional theory data (PBE) for an optimized crystal structure of Pm3NdRh2.

Lattice parameters (Å, degrees): 13.130 6.834 7.733 90.00 107.18 90.00
Space group C2/c (No. 15)
Inequivalent atoms, fractional coordinates:
Pm: 0.000 0.241 0.250
Pm: 0.220 0.500 0.110
Nd: 0.000 0.247 0.750
Rh: 0.122 0.000 0.061

Output
Energy relative to the elements, eV per atom: -0.51
DOS at the Fermi energy, states/eV/cell: 20.93
Energy relative to the lowest polymorph listed for this composition, meV/atom: 0

# 3
Density functional theory data (PBE) for an optimized crystal structure of ScCdIr2.

Lattice parameters (Å, degrees): 6.499 6.499 6.499 90.00 90.00 90.00
Space group F-43m (No. 216)
Inequivalent atoms, fractional coordinates:
Sc: 0.000 0.000 0.000
Cd: 0.250 0.250 0.750
Ir: 0.000 0.000 0.500
Ir: 0.250 0.250 0.250

Output
Energy relative to the elements, eV per atom: -0.11
DOS at the Fermi energy, states/eV/cell: 25.19

# 4
Density functional theory data (PBE) for an optimized crystal structure of RbSrCuO2.

Lattice parameters (Å, degrees): 6.001 5.501 7.158 90.00 90.20 90.00
Space group P2/c (No. 13)
Inequivalent atoms, fractional coordinates:
Rb: 0.000 0.003 0.250
Sr: 0.500 0.499 0.750
Cu: 0.500 0.000 0.000
O: 0.316 0.264 0.000

Output
Energy relative to the lowest polymorph listed for this composition, meV/atom: 0

# 5
Density functional theory data (PBE) for an optimized crystal structure of K2BeNbSn.

Lattice parameters (Å, degrees): 6.171 6.171 4.499 90.00 90.00 90.00
Space group P4/mmm (No. 123)
Inequivalent atoms, fractional coordinates:
K: 0.000 0.500 0.000
Be: 0.000 0.000 0.000
Nb: 0.500 0.500 0.500
Sn: 0.000 0.000 0.500

Output
Energy relative to the elements, eV per atom: 1.13
DOS at the Fermi energy, states/eV/cell: 2.87

# 6
Density functional theory data (PBE) for an optimized crystal structure of KCr2As.

Lattice parameters (Å, degrees): 4.474 4.474 4.234 90.00 90.00 90.00
Space group P4/mmm (No. 123)
Inequivalent atoms, fractional coordinates:
K: 0.000 0.000 0.000
Cr: 0.000 0.500 0.500
As: 0.500 0.500 0.000

Output
Energy relative to the elements, eV per atom: 0.86
DOS at the Fermi energy, states/eV/cell: 3.57

# 7
Density functional theory data (PBE) for an optimized crystal structure of Rb2MnCuAs.

Lattice parameters (Å, degrees): 6.568 6.568 4.433 90.00 90.00 90.00
Space group P4/mmm (No. 123)
Inequivalent atoms, fractional coordinates:
Rb: 0.000 0.500 0.000
Mn: 0.000 0.000 0.500
Cu: 0.500 0.500 0.000
As: 0.500 0.500 0.500

Output
Energy relative to the elements, eV per atom: 0.47
DOS at the Fermi energy, states/eV/cell: 2.74

# 8
Density functional theory data (PBE) for an optimized crystal structure of Co2NiAs.

Lattice parameters (Å, degrees): 5.115 6.455 2.808 90.00 90.00 90.00
Space group Cmmm (No. 65)
Inequivalent atoms, fractional coordinates:
Co: 0.250 0.250 0.000
Ni: 0.000 0.000 0.500
As: 0.000 0.500 0.500

Output
Energy relative to the elements, eV per atom: 0.03
DOS at the Fermi energy, states/eV/cell: 7.75

# 9
Density functional theory data (PBE) for an optimized crystal structure of PmPr3Tm5.

Lattice parameters (Å, degrees): 15.442 11.155 10.102 90.00 130.55 90.00
Space group C2/m (No. 12)
Inequivalent atoms, fractional coordinates:
Pm: 0.247 0.000 0.092
Pr: 0.000 0.000 0.000
Pr: 0.000 0.500 0.500
Pr: 0.010 0.500 0.215
Pr: 0.029 0.000 0.689
Tm: 0.000 0.260 0.000
Tm: 0.161 0.247 0.564
Tm: 0.212 0.500 0.202
Tm: 0.222 0.000 0.410

Output
Energy relative to the elements, eV per atom: 0.52
DOS at the Fermi energy, states/eV/cell: 48.07

# 10
Density functional theory data (PBE) for an optimized crystal structure of Sn2Rh3.

Lattice parameters (Å, degrees): 4.3953 4.3953 5.4729 90.00 90.00 120.00
Space group P-3m1 (No. 164)
Inequivalent atoms, fractional coordinates:
Sn: 0.3333 0.6667 0.2004
Rh: 0.0000 0.0000 0.0000
Rh: 0.3333 0.6667 0.6817

Output
Energy relative to the elements, eV per atom: -0.34
DOS at the Fermi energy, states/eV/cell: 1.96

# 11
Density functional theory data (PBE) for an optimized crystal structure of YCrH2.

Lattice parameters (Å, degrees): 4.563 4.563 9.665 90.00 90.00 90.00
Space group I-42d (No. 122)
Inequivalent atoms, fractional coordinates:
Y: 0.000 0.000 0.000
Cr: 0.000 0.000 0.500
H: 0.174 0.250 0.625

Output
DOS at the Fermi energy, states/eV/cell: 3.31
Energy relative to the lowest polymorph listed for this composition, meV/atom: 0

# 12
Density functional theory data (PBE) for an optimized crystal structure of BaMg2ScNi.

Lattice parameters (Å, degrees): 5.197 5.197 4.870 90.00 90.00 90.00
Space group P4/mmm (No. 123)
Inequivalent atoms, fractional coordinates:
Ba: 0.000 0.000 0.000
Mg: 0.000 0.500 0.500
Sc: 0.500 0.500 0.000
Ni: 0.500 0.500 0.500

Output
Energy relative to the elements, eV per atom: -0.07
DOS at the Fermi energy, states/eV/cell: 3.10

# 13
Density functional theory data (PBE) for an optimized crystal structure of KTmCr2Cl8.

Lattice parameters (Å, degrees): 6.423 6.453 8.791 76.22 78.32 79.04
Space group P-1 (No. 2)
Inequivalent atoms, fractional coordinates:
K: 0.000 0.000 0.000
Tm: 0.000 0.000 0.500
Cr: 0.462 0.466 0.216
Cl: 0.181 0.740 0.730
Cl: 0.229 0.787 0.288
Cl: 0.294 0.250 0.450
Cl: 0.365 0.308 0.009

Output
DOS at the Fermi energy, states/eV/cell: 0.64

# 14
Density functional theory data (PBE) for an optimized crystal structure of CoH3I.

Lattice parameters (Å, degrees): 4.038 4.038 4.038 90.00 90.00 90.00
Space group Pm-3m (No. 221)
Inequivalent atoms, fractional coordinates:
Co: 0.000 0.000 0.000
H: 0.000 0.500 0.500
I: 0.500 0.500 0.500

Output
DOS at the Fermi energy, states/eV/cell: 11.67
Energy relative to the lowest polymorph listed for this composition, meV/atom: 725

# 15
Density functional theory data (PBE) for an optimized crystal structure of UPaFe.

Lattice parameters (Å, degrees): 3.491 3.491 9.193 90.00 90.00 90.00
Space group I4mm (No. 107)
Inequivalent atoms, fractional coordinates:
U: 0.000 0.000 0.000
Pa: 0.000 0.000 0.693
Fe: 0.000 0.000 0.350

Output
Energy relative to the elements, eV per atom: 0.07
DOS at the Fermi energy, states/eV/cell: 11.15
Energy relative to the lowest polymorph listed for this composition, meV/atom: 93

# 16
Density functional theory data (PBE) for an optimized crystal structure of CaLaCeLu.

Lattice parameters (Å, degrees): 8.226 8.226 8.226 90.00 90.00 90.00
Space group F-43m (No. 216)
Inequivalent atoms, fractional coordinates:
Ca: 0.000 0.000 0.000
La: 0.250 0.250 0.750
Ce: 0.000 0.000 0.500
Lu: 0.250 0.250 0.250

Output
Energy relative to the elements, eV per atom: 0.25
DOS at the Fermi energy, states/eV/cell: 42.61

# 17
Density functional theory data (PBE) for an optimized crystal structure of LaGa2Pd5.

Lattice parameters (Å, degrees): 3.982 7.171 10.131 90.00 90.00 90.00
Space group Immm (No. 71)
Inequivalent atoms, fractional coordinates:
La: 0.000 0.000 0.000
Ga: 0.000 0.500 0.242
Pd: 0.000 0.196 0.357
Pd: 0.000 0.500 0.000

Output
Energy relative to the elements, eV per atom: -0.71
DOS at the Fermi energy, states/eV/cell: 8.06

# 18
Density functional theory data (PBE) for an optimized crystal structure of DyNiH.

Lattice parameters (Å, degrees): 3.7595 3.7595 3.4483 90.00 90.00 120.00
Space group P-6m2 (No. 187)
Inequivalent atoms, fractional coordinates:
Dy: 0.0000 0.0000 0.0000
Ni: 0.6667 0.3333 0.5000
H: 0.3333 0.6667 0.5000

Output
DOS at the Fermi energy, states/eV/cell: 1.44
Energy relative to the lowest polymorph listed for this composition, meV/atom: 0

# 19
Density functional theory data (PBE) for an optimized crystal structure of ReAgBr3.

Lattice parameters (Å, degrees): 5.149 5.149 5.149 90.00 90.00 90.00
Space group Pm-3m (No. 221)
Inequivalent atoms, fractional coordinates:
Re: 0.000 0.000 0.000
Ag: 0.500 0.500 0.500
Br: 0.000 0.000 0.500

Output
DOS at the Fermi energy, states/eV/cell: 3.44
Energy relative to the lowest polymorph listed for this composition, meV/atom: 0

# 20
Density functional theory data (PBE) for an optimized crystal structure of CeDy2Pu3N6.

Lattice parameters (Å, degrees): 6.065 10.509 6.014 90.00 109.62 90.00
Space group C2/m (No. 12)
Inequivalent atoms, fractional coordinates:
Ce: 0.000 0.000 0.000
Dy: 0.000 0.333 0.000
Pu: 0.000 0.167 0.500
Pu: 0.000 0.500 0.500
N: 0.245 0.331 0.741
N: 0.249 0.500 0.258

Output
DOS at the Fermi energy, states/eV/cell: 39.20

# 21
Density functional theory data (PBE) for an optimized crystal structure of NiSb2Pt.

Lattice parameters (Å, degrees): 3.7291 3.7291 19.6634 90.00 90.00 120.00
Space group R-3m (No. 166, hexagonal axes)
Inequivalent atoms, fractional coordinates:
Ni: 0.0000 0.0000 0.0000
Sb: 0.0000 0.0000 0.2550
Pt: 0.0000 0.0000 0.5000

Output
DOS at the Fermi energy, states/eV/cell: 5.61
Energy relative to the lowest polymorph listed for this composition, meV/atom: 91

# 22
Density functional theory data (PBE) for an optimized crystal structure of SrBeAu.

Lattice parameters (Å, degrees): 4.1466 4.1466 4.6753 90.00 90.00 120.00
Space group P-6m2 (No. 187)
Inequivalent atoms, fractional coordinates:
Sr: 0.0000 0.0000 0.0000
Be: 0.3333 0.6667 0.5000
Au: 0.6667 0.3333 0.5000

Output
Energy relative to the elements, eV per atom: -0.32
DOS at the Fermi energy, states/eV/cell: 2.26
Energy relative to the lowest polymorph listed for this composition, meV/atom: 34

# 23
Density functional theory data (PBE) for an optimized crystal structure of FeIrRu2.

Lattice parameters (Å, degrees): 6.033 6.033 6.033 90.00 90.00 90.00
Space group Fm-3m (No. 225)
Inequivalent atoms, fractional coordinates:
Fe: 0.000 0.000 0.000
Ir: 0.000 0.000 0.500
Ru: 0.250 0.250 0.250

Output
Energy relative to the elements, eV per atom: 0.58
DOS at the Fermi energy, states/eV/cell: 42.44
Energy relative to the lowest polymorph listed for this composition, meV/atom: 582

# 24
Density functional theory data (PBE) for an optimized crystal structure of MoP.

Lattice parameters (Å, degrees): 4.647 6.125 9.160 90.00 90.00 90.00
Space group P2_12_12_1 (No. 19)
Inequivalent atoms, fractional coordinates:
Mo: 0.155 0.095 0.458
Mo: 0.156 0.564 0.747
P: 0.157 0.475 0.492
P: 0.176 0.074 0.195

Output
Energy relative to the elements, eV per atom: -0.26
DOS at the Fermi energy, states/eV/cell: 7.99

# 25
Density functional theory data (PBE) for an optimized crystal structure of CaMo2Pt.

Lattice parameters (Å, degrees): 2.811 2.811 9.085 90.00 90.00 90.00
Space group P4mm (No. 99)
Inequivalent atoms, fractional coordinates:
Ca: 0.000 0.000 0.000
Mo: 0.000 0.000 0.537
Mo: 0.500 0.500 0.293
Pt: 0.500 0.500 0.741

Output
Energy relative to the elements, eV per atom: 0.17
DOS at the Fermi energy, states/eV/cell: 4.74
Energy relative to the lowest polymorph listed for this composition, meV/atom: 116

# 26
Density functional theory data (PBE) for an optimized crystal structure of CeThZnCu.

Lattice parameters (Å, degrees): 7.198 7.198 7.198 90.00 90.00 90.00
Space group F-43m (No. 216)
Inequivalent atoms, fractional coordinates:
Ce: 0.000 0.000 0.000
Th: 0.000 0.000 0.500
Zn: 0.250 0.250 0.750
Cu: 0.250 0.250 0.250

Output
Energy relative to the elements, eV per atom: -0.08
DOS at the Fermi energy, states/eV/cell: 34.68

Record-wise E values, in eV per atom: -1.924; -6.130; -6.349; -4.894; -2.869; -5.388; -3.500; -6.127; -4.085; -6.348; -5.759; -3.518; -4.804; -2.190; -9.681; -4.096; -5.331; -4.742; -3.519; -10.449; -5.154; -3.219; -8.386; -8.384; -7.261; -4.758